1.
A relaxed AlAg2Ir crystal, computed with PBE.

N(E_F) = 2.7 states/eV/f.u.
Total moment = 0.0 μB per formula unit
Energy of formation from the pure elements = -0.42 eV per formula unit

Unit cell a=2.8970 b=2.8970 c=26.9416 alpha=90.00 beta=90.00 gamma=120.00
Closest atoms and distances in Å follow each position.
Space group R3m (No. 160, hexagonal axes)
Symmetry-distinct sites (fractional):
Al (0.0000, 0.0000, 0.0000)  3 Ir 2.50, 3 Ag 2.79
Ag (0.0000, 0.0000, 0.5079)  9 Ag 2.90-2.99, 3 Ir 2.95
Ag (0.0000, 0.0000, 0.7494)  3 Al 2.79, 9 Ag 2.90-2.99
Ir (0.0000, 0.0000, 0.2646)  3 Al 2.50


2.
A relaxed Ga2Sn14Au9 crystal, computed with PBE.

N(E_F) = 8.8 states/eV/f.u.
Total moment = 0.0 μB per formula unit
Energy of formation from the pure elements = -3.47 eV per formula unit

Unit cell a=8.0809 b=8.0809 c=11.5682 alpha=90.00 beta=90.00 gamma=120.00
Closest atoms and distances in Å follow each position.
Space group P-3 (No. 147)
Symmetry-distinct sites (fractional):
Ga (0.3333, 0.6667, 0.2507)  4 Au 2.72
Sn (0.0000, 0.0000, 0.2476)  4 Au 2.86-2.89
Sn (0.0189, 0.6670, 0.9069)  4 Au 2.84-2.97
Sn (0.0354, 0.3599, 0.5895)  4 Au 2.79-2.91
Au (0.0000, 0.0000, 0.0000)  8 Sn 2.86-2.97
Au (0.0291, 0.3472, 0.3383)  1 Ga 2.72, 6 Sn 2.79-2.91
Au (0.3333, 0.6667, 0.0159)  1 Ga 2.72, 6 Sn 2.84-2.91


3.
A relaxed V7W3 crystal, computed with PBE.

N(E_F) = 8.1 states/eV/f.u.
Total moment = 0.0 μB per formula unit
Energy of formation from the pure elements = 2.88 eV per formula unit

Unit cell a=8.3787 b=8.3787 c=5.0543 alpha=90.00 beta=90.00 gamma=120.00
Closest atoms and distances in Å follow each position.
Space group P6_3/mmc (No. 194)
Symmetry-distinct sites (fractional):
V (0.0000, 0.5000, 0.0000)  4 W 2.49, 4 V 2.53-2.73
V (0.1278, 0.2557, 0.2500)  4 W 2.77-2.85, 5 V 2.98-3.02
V (0.3333, 0.6667, 0.2500)  9 V 2.73-2.98, 6 W 3.02
W (0.2191, 0.4381, 0.7500)  6 V 2.49-2.77


4.
A relaxed LiPt2W crystal, computed with PBE.

N(E_F) = 2.3 states/eV/f.u.
Total moment = 0.0 μB per formula unit
Energy of formation from the pure elements = -1.28 eV per formula unit

Unit cell a=2.7548 b=3.8660 c=5.5424 alpha=90.00 beta=90.00 gamma=90.00
Closest atoms and distances in Å follow each position.
Space group Pmmm (No. 47)
Symmetry-distinct sites (fractional):
Li (0.0000, 0.0000, 0.0000)  8 Pt 2.75, 2 Li 2.75, 2 W 2.77
Pt (0.5000, 0.5000, 0.2488)  4 Li 2.75, 4 W 2.75, 4 Pt 2.75-2.78
W (0.0000, 0.0000, 0.5000)  8 Pt 2.75, 2 W 2.75, 2 Li 2.77


5.
A relaxed PmHoAgSb crystal, computed with PBE.

N(E_F) = 5.1 states/eV/f.u.
Total moment = 0.0 μB per formula unit
Formation energy (no corrections) = -2.21 eV per formula unit

Unit cell a=7.4601 b=7.4601 c=7.4601 alpha=90.00 beta=90.00 gamma=90.00
Closest atoms and distances in Å follow each position.
Space group F-43m (No. 216)
Symmetry-distinct sites (fractional):
Pm (0.0000, 0.0000, 0.0000)  4 Sb 3.23, 4 Ag 3.23
Ho (0.0000, 0.0000, 0.5000)  4 Sb 3.23, 4 Ag 3.23
Ag (0.2500, 0.2500, 0.7500)  4 Ho 3.23, 4 Pm 3.23
Sb (0.2500, 0.2500, 0.2500)  4 Ho 3.23, 4 Pm 3.23


6.
A relaxed SnTeS2N crystal, computed with PBE.

N(E_F) = 5.6 states/eV/f.u.
Total moment = 0.0 μB per formula unit
Polymorph energy (0 for the lowest one) = 0.1857 eV/atom
Formation energy (no corrections) = 4.15 eV per formula unit

Unit cell a=5.1406 b=5.1406 c=3.9477 alpha=90.00 beta=90.00 gamma=90.00
Closest atoms and distances in Å follow each position.
Space group P4/mmm (No. 123)
Symmetry-distinct sites (fractional):
Sn (0.0000, 0.0000, 0.0000)  2 N 1.97
Te (0.5000, 0.5000, 0.5000)  8 S 3.24
S (0.0000, 0.5000, 0.0000)  2 Sn 2.57
N (0.0000, 0.0000, 0.5000)  2 Sn 1.97


What is the total moment in the first record?
0.0 μB per formula unit


Please write out number 2 again, unchanged.
A relaxed Ga2Sn14Au9 crystal, computed with PBE.

N(E_F) = 8.8 states/eV/f.u.
Total moment = 0.0 μB per formula unit
Energy of formation from the pure elements = -3.47 eV per formula unit

Unit cell a=8.0809 b=8.0809 c=11.5682 alpha=90.00 beta=90.00 gamma=120.00
Closest atoms and distances in Å follow each position.
Space group P-3 (No. 147)
Symmetry-distinct sites (fractional):
Ga (0.3333, 0.6667, 0.2507)  4 Au 2.72
Sn (0.0000, 0.0000, 0.2476)  4 Au 2.86-2.89
Sn (0.0189, 0.6670, 0.9069)  4 Au 2.84-2.97
Sn (0.0354, 0.3599, 0.5895)  4 Au 2.79-2.91
Au (0.0000, 0.0000, 0.0000)  8 Sn 2.86-2.97
Au (0.0291, 0.3472, 0.3383)  1 Ga 2.72, 6 Sn 2.79-2.91
Au (0.3333, 0.6667, 0.0159)  1 Ga 2.72, 6 Sn 2.84-2.91


Number 1 is which compound?
AlAg2Ir


The lowest N(E_F) belongs to which entry?
LiPt2W